[1]
VASP calculation (PBE) on a relaxed Tm5Ni2Te crystal.

Cell lengths 8.4551, 8.4551, 8.4551 Å; angles 126.95, 126.95, 78.33 degrees
Fractional coordinates of all 16 atoms:
Te 0.7500 0.7500 0.0000
Tm 0.9808 0.7902 0.5000
Ni 0.6346 0.8654 0.5000
Ni 0.8654 0.3654 0.2308
Tm 0.2098 0.7098 0.1906
Tm 0.7902 0.2902 0.8094
Tm 0.0192 0.2098 0.5000
Ni 0.3654 0.1346 0.5000
Tm 0.5192 0.0192 0.8094
Tm 0.0000 0.0000 0.0000
Tm 0.4808 0.9808 0.1906
Ni 0.1346 0.6346 0.7692
Te 0.2500 0.2500 0.0000
Tm 0.5000 0.5000 0.0000
Tm 0.7098 0.5192 0.5000
Tm 0.2902 0.4808 0.5000

energy: -5.167 eV/atom
magnetic moment: 0.001 μB per cell

[2]
VASP calculation (PBE) on a relaxed Tm3Ni4Te crystal.

Cell lengths 5.2737, 4.0422, 6.8586 Å; angles 90.00, 91.48, 90.00 degrees
Fractional coordinates of all 8 atoms:
Tm 0.8748 0.0000 0.1804
Tm 0.3721 0.5000 0.3244
Ni 0.8710 0.5000 0.4662
Tm 0.1283 0.5000 0.8183
Ni 0.1300 0.0000 0.5399
Ni 0.6290 0.5000 0.9597
Ni 0.3676 0.0000 0.0359
Te 0.6272 0.0000 0.6752

energy: -5.313 eV/atom
magnetic moment: 0.002 μB per cell

[3]
VASP calculation (PBE) on a relaxed TmNi2Te crystal.

Cell lengths 4.9245, 4.0337, 7.1452 Å; angles 90.00, 93.81, 90.00 degrees
Fractional coordinates of all 8 atoms:
Te 0.1419 0.2500 0.8022
Ni 0.1350 0.7500 0.5441
Ni 0.6608 0.2500 0.9710
Ni 0.3392 0.7500 0.0290
Tm 0.3578 0.2500 0.3034
Ni 0.8650 0.2500 0.4559
Tm 0.6422 0.7500 0.6966
Te 0.8581 0.7500 0.1978

energy: -5.083 eV/atom
magnetic moment: 0.000 μB per cell

[4]
VASP calculation (PBE) on a relaxed Tm3NiTe5 crystal.

Cell lengths 8.5430, 8.5430, 4.0699 Å; angles 90.00, 90.00, 120.00 degrees
Fractional coordinates of all 9 atoms:
Tm 0.0000 0.2689 0.5000
Ni 0.0000 0.0000 0.0000
Te 0.7105 0.0000 0.0000
Te 0.3333 0.6667 0.5000
Tm 0.2689 0.0000 0.5000
Tm 0.7311 0.7311 0.5000
Te 0.0000 0.7105 0.0000
Te 0.2895 0.2895 0.0000
Te 0.6667 0.3333 0.5000

energy: -4.702 eV/atom
magnetic moment: 0.003 μB per cell

[5]
VASP calculation (PBE) on a relaxed TmNi2Te crystal.

Cell lengths 4.0727, 5.0662, 6.9357 Å; angles 90.00, 90.00, 90.00 degrees
Fractional coordinates of all 8 atoms:
Te 0.0000 0.6486 0.1800
Ni 0.0000 0.8790 0.5359
Ni 0.0000 0.1210 0.0359
Ni 0.5000 0.6292 0.4644
Ni 0.5000 0.3708 0.9644
Tm 0.5000 0.1346 0.3197
Tm 0.5000 0.8654 0.8197
Te 0.0000 0.3514 0.6800

energy: -5.097 eV/atom
magnetic moment: 0.001 μB per cell

[6]
VASP calculation (PBE) on a relaxed Y3Tm4Ni2Te2 crystal.

Cell lengths 9.3028, 9.3028, 9.3028 Å; angles 156.17, 66.90, 118.53 degrees
Fractional coordinates of all 11 atoms:
Y 0.7632 0.8949 0.8683
Ni 0.6410 0.4049 0.2362
Y 0.4768 0.4768 0.0000
Te 0.7400 0.2400 0.5000
Tm 0.3954 0.7475 0.6479
Tm 0.7819 0.0961 0.6858
Tm 0.4103 0.0961 0.3142
Te 0.1426 0.1426 0.0000
Tm 0.0996 0.7475 0.3521
Ni 0.1687 0.4049 0.7638
Y 0.0266 0.8949 0.1317

energy: -5.663 eV/atom
magnetic moment: 0.031 μB per cell

[7]
VASP calculation (PBE) on a relaxed Y4Tm3Ni2Te2 crystal.

Cell lengths 9.3483, 9.3483, 9.3483 Å; angles 156.23, 66.92, 118.48 degrees
Fractional coordinates of all 11 atoms:
Ni 0.6449 0.4044 0.2406
Y 0.3921 0.7465 0.6456
Tm 0.0278 0.8947 0.1331
Y 0.4143 0.0983 0.3159
Tm 0.7615 0.8947 0.8669
Te 0.1382 0.1382 0.0000
Te 0.7431 0.2431 0.5000
Ni 0.1638 0.4044 0.7594
Y 0.7824 0.0983 0.6841
Y 0.1009 0.7465 0.3544
Tm 0.4771 0.4771 0.0000

energy: -5.826 eV/atom
magnetic moment: 0.007 μB per cell

[8]
VASP calculation (PBE) on a relaxed Y3Tm4Ni2Te2 crystal.

Cell lengths 9.3045, 9.3045, 9.3045 Å; angles 156.11, 66.77, 118.69 degrees
Fractional coordinates of all 11 atoms:
Ni 0.1681 0.4079 0.7602
Te 0.1378 0.1378 0.0000
Y 0.0971 0.7441 0.3529
Tm 0.7600 0.8935 0.8665
Tm 0.7828 0.0978 0.6850
Ni 0.6477 0.4079 0.2398
Tm 0.4128 0.0978 0.3150
Te 0.7436 0.2436 0.5000
Y 0.4781 0.4781 0.0000
Tm 0.0269 0.8935 0.1335
Y 0.3912 0.7441 0.6471

energy: -5.666 eV/atom
magnetic moment: 0.008 μB per cell

[9]
VASP calculation (PBE) on a relaxed Y6TmNi2Te2 crystal.

Cell lengths 9.3982, 9.3982, 9.3982 Å; angles 156.27, 66.94, 118.44 degrees
Fractional coordinates of all 11 atoms:
Ni 0.6438 0.4053 0.2385
Y 0.7641 0.8954 0.8687
Y 0.4125 0.0968 0.3156
Y 0.0267 0.8954 0.1313
Te 0.1415 0.1415 0.0000
Y 0.7812 0.0968 0.6844
Y 0.3917 0.7454 0.6462
Tm 0.4774 0.4774 0.0000
Y 0.0992 0.7454 0.3538
Ni 0.1668 0.4053 0.7615
Te 0.7414 0.2414 0.5000

energy: -6.190 eV/atom
magnetic moment: 0.021 μB per cell

[10]
VASP calculation (PBE) on a relaxed Y3Tm4Ni2Te2 crystal.

Cell lengths 9.2910, 9.2910, 9.2910 Å; angles 156.20, 67.02, 118.39 degrees
Fractional coordinates of all 11 atoms:
Tm 0.3947 0.7474 0.6473
Te 0.1393 0.1393 0.0000
Tm 0.0285 0.8952 0.1333
Y 0.4761 0.4761 0.0000
Y 0.7844 0.0991 0.6853
Tm 0.1002 0.7474 0.3527
Y 0.4138 0.0991 0.3147
Ni 0.6404 0.4015 0.2389
Tm 0.7620 0.8952 0.8667
Ni 0.1627 0.4015 0.7611
Te 0.7441 0.2441 0.5000

energy: -5.651 eV/atom
magnetic moment: 0.011 μB per cell

[11]
VASP calculation (PBE) on a relaxed Y4Tm3Ni2Te2 crystal.

Cell lengths 9.3330, 9.3330, 9.3330 Å; angles 156.19, 66.92, 118.50 degrees
Fractional coordinates of all 11 atoms:
Te 0.7388 0.2388 0.5000
Y 0.0259 0.8944 0.1316
Tm 0.4108 0.0955 0.3153
Y 0.3931 0.7468 0.6463
Y 0.1005 0.7468 0.3537
Ni 0.1698 0.4072 0.7626
Y 0.7628 0.8944 0.8684
Tm 0.7802 0.0955 0.6847
Te 0.1420 0.1420 0.0000
Tm 0.4776 0.4776 0.0000
Ni 0.6446 0.4072 0.2374

energy: -5.836 eV/atom
magnetic moment: 0.044 μB per cell

[12]
VASP calculation (PBE) on a relaxed Y4Tm3Ni2Te2 crystal.

Cell lengths 9.3340, 9.3340, 9.3340 Å; angles 156.31, 67.56, 117.77 degrees
Fractional coordinates of all 11 atoms:
Tm 0.6049 0.7501 0.8548
Y 0.5274 0.8963 0.6311
Y 0.2652 0.8963 0.3689
Tm 0.9754 0.4754 0.5000
Tm 0.8952 0.7501 0.1452
Te 0.2384 0.2384 0.0000
Y 0.9125 0.0978 0.8148
Te 0.6430 0.1430 0.5000
Ni 0.6648 0.4005 0.2643
Y 0.2830 0.0978 0.1852
Ni 0.1362 0.4005 0.7357

energy: -5.824 eV/atom
magnetic moment: 0.013 μB per cell

[13]
VASP calculation (PBE) on a relaxed YTm6Ni2Te2 crystal.

Cell lengths 9.2668, 9.2668, 9.2668 Å; angles 156.16, 66.99, 118.44 degrees
Fractional coordinates of all 11 atoms:
Ni 0.1666 0.4049 0.7616
Tm 0.4120 0.0974 0.3146
Te 0.1402 0.1402 0.0000
Tm 0.0277 0.8947 0.1329
Ni 0.6433 0.4049 0.2384
Tm 0.0986 0.7462 0.3524
Te 0.7425 0.2425 0.5000
Tm 0.7618 0.8947 0.8671
Tm 0.3939 0.7462 0.6476
Y 0.4769 0.4769 0.0000
Tm 0.7828 0.0974 0.6854

energy: -5.301 eV/atom
magnetic moment: 0.011 μB per cell

[14]
VASP calculation (PBE) on a relaxed NiTe2W crystal.

Cell lengths 4.7894, 4.7894, 4.7894 Å; angles 60.00, 60.00, 60.00 degrees
Site moments in Bohr magnetons follow the coordinates.
Fractional coordinates of all 4 atoms:
W 0.5000 0.5000 0.5000  0.10
Te 0.2500 0.2500 0.2500  -0.01
Te 0.0000 0.0000 0.0000  0.00
Ni 0.7500 0.7500 0.7500  0.04

energy: -5.116 eV/atom
magnetic moment: 0.161 μB per cell

[15]
VASP calculation (PBE) on a relaxed YNiTe5 crystal.

Cell lengths 6.1587, 6.1587, 16.6515 Å; angles 90.00, 90.00, 142.42 degrees
Fractional coordinates of all 14 atoms:
Te 0.8438 0.1562 0.2500
Te 0.5851 0.4149 0.9161
Te 0.1562 0.8438 0.7500
Te 0.1435 0.8565 0.1160
Ni 0.0000 0.0000 0.5000
Y 0.4461 0.5539 0.7500
Te 0.4149 0.5851 0.4161
Te 0.5851 0.4149 0.5839
Te 0.8565 0.1435 0.8840
Te 0.4149 0.5851 0.0839
Te 0.8565 0.1435 0.6160
Te 0.1435 0.8565 0.3840
Ni 0.0000 0.0000 0.0000
Y 0.5539 0.4461 0.2500

energy: -4.479 eV/atom
magnetic moment: 0.001 μB per cell

[16]
VASP calculation (PBE) on a relaxed Y7Ni2Te2 crystal.

Cell lengths 9.4149, 9.4149, 9.4149 Å; angles 156.27, 66.92, 118.46 degrees
Fractional coordinates of all 11 atoms:
Ni 0.6438 0.4053 0.2385
Te 0.1415 0.1415 0.0000
Y 0.3916 0.7453 0.6463
Ni 0.1668 0.4053 0.7615
Y 0.0990 0.7453 0.3537
Y 0.4774 0.4774 0.0000
Te 0.7416 0.2416 0.5000
Y 0.7641 0.8954 0.8687
Y 0.4125 0.0968 0.3156
Y 0.0267 0.8954 0.1313
Y 0.7812 0.0968 0.6844

energy: -6.383 eV/atom
magnetic moment: 0.014 μB per cell

[17]
VASP calculation (PBE) on a relaxed Y3NiTe5 crystal.

Cell lengths 8.5762, 8.5762, 3.7449 Å; angles 90.00, 90.00, 120.00 degrees
Fractional coordinates of all 9 atoms:
Y 0.0000 0.6460 0.0000
Y 0.3540 0.3540 0.0000
Te 0.7692 0.7692 0.5000
Te 0.3333 0.6667 0.5000
Ni 0.0000 0.0000 0.0000
Te 0.2308 0.0000 0.5000
Te 0.0000 0.2308 0.5000
Y 0.6460 0.0000 0.0000
Te 0.6667 0.3333 0.5000

energy: -5.320 eV/atom
magnetic moment: 0.002 μB per cell

[18]
VASP calculation (PBE) on a relaxed Y5NiTe3 crystal.

Cell lengths 8.2718, 8.2718, 4.0874 Å; angles 90.00, 90.00, 120.00 degrees
Fractional coordinates of all 9 atoms:
Y 0.0000 0.6747 0.0000
Te 0.2662 0.0000 0.5000
Y 0.6667 0.3333 0.5000
Y 0.3333 0.6667 0.5000
Te 0.0000 0.2662 0.5000
Te 0.7338 0.7338 0.5000
Ni 0.0000 0.0000 0.0000
Y 0.3253 0.3253 0.0000
Y 0.6747 0.0000 0.0000

energy: -5.817 eV/atom
magnetic moment: 0.013 μB per cell

[19]
VASP calculation (PBE) on a relaxed Y5NiTe3 crystal.

Cell lengths 8.5723, 8.5723, 3.7881 Å; angles 90.00, 90.00, 120.00 degrees
Site moments in Bohr magnetons follow the coordinates.
Fractional coordinates of all 9 atoms:
Y 0.0000 0.2286 0.5000  0.12
Y 0.7714 0.7714 0.5000  0.10
Te 0.5875 0.0000 0.0000  -0.01
Y 0.6667 0.3333 0.5000  0.32
Y 0.3333 0.6667 0.5000  0.32
Te 0.0000 0.5875 0.0000  -0.01
Y 0.2286 0.0000 0.5000  0.11
Ni 0.0000 0.0000 0.0000  -0.01
Te 0.4125 0.4125 0.0000  -0.01

energy: -5.874 eV/atom
magnetic moment: 1.724 μB per cell

[20]
VASP calculation (PBE) on a relaxed Y3NiTe5 crystal.

Cell lengths 8.6030, 8.6030, 4.1495 Å; angles 90.00, 90.00, 120.00 degrees
Fractional coordinates of all 9 atoms:
Y 0.0000 0.2739 0.5000
Te 0.0000 0.7135 0.0000
Te 0.3333 0.6667 0.5000
Y 0.7261 0.7261 0.5000
Te 0.6667 0.3333 0.5000
Te 0.7135 0.0000 0.0000
Ni 0.0000 0.0000 0.0000
Te 0.2865 0.2865 0.0000
Y 0.2739 0.0000 0.5000

energy: -5.435 eV/atom
magnetic moment: 0.015 μB per cell

[21]
VASP calculation (PBE) on a relaxed Y3Zr3NiTe2 crystal.

Cell lengths 8.1711, 8.1711, 3.6857 Å; angles 90.00, 90.00, 120.00 degrees
Fractional coordinates of all 9 atoms:
Te 0.3333 0.6667 0.5000
Ni 0.0000 0.0000 0.0000
Y 0.0000 0.7547 0.5000
Zr 0.5903 0.5903 0.0000
Y 0.7547 0.0000 0.5000
Te 0.6667 0.3333 0.5000
Y 0.2453 0.2453 0.5000
Zr 0.4097 0.0000 0.0000
Zr 0.0000 0.4097 0.0000

energy: -6.840 eV/atom
magnetic moment: 0.004 μB per cell

[22]
VASP calculation (PBE) on a relaxed Y3Zr3NiTe2 crystal.

Cell lengths 7.9878, 7.9878, 3.9319 Å; angles 90.00, 90.00, 120.00 degrees
Fractional coordinates of all 9 atoms:
Zr 0.2278 0.2278 0.5000
Te 0.3333 0.6667 0.5000
Y 0.0000 0.3989 0.0000
Y 0.6011 0.6011 0.0000
Te 0.6667 0.3333 0.5000
Zr 0.0000 0.7722 0.5000
Zr 0.7722 0.0000 0.5000
Ni 0.0000 0.0000 0.0000
Y 0.3989 0.0000 0.0000

energy: -6.998 eV/atom
magnetic moment: 0.001 μB per cell